[1]
Below is a relaxed LaCo2 crystal, with properties calculated at the PBE-GGA level.

```
LaCo2
1.0
5.124 0.000 0.000
0.000 5.124 0.000
0.000 0.000 4.281
La Co
2 4
direct
0.000 0.000 0.000
0.500 0.500 0.500
0.171 0.171 0.500
0.329 0.671 0.000
0.671 0.329 0.000
0.829 0.829 0.500
```

Output
- Formation energy from the elements: 117.19 kJ per mole of atoms
- Total magnetization: 0.0851 μB/atom
- Uncorrected energy: -5.164 eV per atom

=====

[2]
Below is a relaxed NdFeSi crystal, with properties calculated at the PBE-GGA level.

```
NdFeSi
1.0
6.742 0.000 0.000
-3.371 5.839 0.000
0.000 0.000 3.982
Nd Fe Si
3 3 3
direct
0.000 0.576 0.000
0.424 0.424 0.000
0.576 0.000 0.000
0.000 0.000 0.000
0.333 0.667 0.500
0.667 0.333 0.500
0.000 0.226 0.500
0.226 0.000 0.500
0.774 0.774 0.500
```

Output
- Total magnetization: 0.2043 μB/atom
- Uncorrected energy: -6.420 eV per atom

=====

What is the formula in the first record?
LaCo2

=====

Repeat the first record exactly.
Below is a relaxed LaCo2 crystal, with properties calculated at the PBE-GGA level.

```
LaCo2
1.0
5.124 0.000 0.000
0.000 5.124 0.000
0.000 0.000 4.281
La Co
2 4
direct
0.000 0.000 0.000
0.500 0.500 0.500
0.171 0.171 0.500
0.329 0.671 0.000
0.671 0.329 0.000
0.829 0.829 0.500
```

Output
- Formation energy from the elements: 117.19 kJ per mole of atoms
- Total magnetization: 0.0851 μB/atom
- Uncorrected energy: -5.164 eV per atom

=====

Look up the uncorrected energy of the first one.
-5.164 eV per atom

=====

Please write out number 2 again, unchanged.
Below is a relaxed NdFeSi crystal, with properties calculated at the PBE-GGA level.

```
NdFeSi
1.0
6.742 0.000 0.000
-3.371 5.839 0.000
0.000 0.000 3.982
Nd Fe Si
3 3 3
direct
0.000 0.576 0.000
0.424 0.424 0.000
0.576 0.000 0.000
0.000 0.000 0.000
0.333 0.667 0.500
0.667 0.333 0.500
0.000 0.226 0.500
0.226 0.000 0.500
0.774 0.774 0.500
```

Output
- Total magnetization: 0.2043 μB/atom
- Uncorrected energy: -6.420 eV per atom